1.
DFT (GGA-PBE) results for crystalline YHo7Er4 at its relaxed geometry.

The structure in CIF format:
```
data_YHo7Er4
_cell_length_a 5.812
_cell_length_b 11.458
_cell_length_c 6.654
_cell_angle_alpha 83.47
_cell_angle_beta 64.10
_cell_angle_gamma 75.31
_symmetry_space_group_name_H-M 'P 1'
_symmetry_Int_Tables_number 1
_symmetry_space_group_name_Hall 'P 1'
loop_
_atom_site_label
_atom_site_type_symbol
_atom_site_fract_x
_atom_site_fract_y
_atom_site_fract_z
_atom_site_occupancy
Y1 Y 0.000 0.000 0.000 1
Ho1 Ho 0.787 0.923 0.503 1
Ho2 Ho 0.213 0.077 0.497 1
Ho3 Ho 0.058 0.675 0.208 1
Ho4 Ho 0.942 0.325 0.792 1
Ho5 Ho 0.365 0.503 0.767 1
Ho6 Ho 0.500 0.000 0.000 1
Ho7 Ho 0.635 0.497 0.233 1
Er1 Er 0.634 0.225 0.506 1
Er2 Er 0.366 0.775 0.494 1
Er3 Er 0.749 0.685 0.817 1
Er4 Er 0.251 0.315 0.183 1
```

Results
Total magnetization ... 0.300 μB/f.u.
D(E_F) ... 20.24 states/eV per cell
Space-group type ... C2/m, No. 12

***

2.
DFT (GGA-PBE) results for crystalline YHo7Er4 at its relaxed geometry.

The structure in CIF format:
```
data_YHo7Er4
_cell_length_a 6.752
_cell_length_b 6.449
_cell_length_c 11.599
_cell_angle_alpha 74.90
_cell_angle_beta 50.41
_cell_angle_gamma 81.79
_symmetry_space_group_name_H-M 'P 1'
_symmetry_Int_Tables_number 1
_symmetry_space_group_name_Hall 'P 1'
loop_
_atom_site_label
_atom_site_type_symbol
_atom_site_fract_x
_atom_site_fract_y
_atom_site_fract_z
_atom_site_occupancy
Y1 Y 0.000 0.000 0.000 1
Ho1 Ho 0.801 0.516 0.949 1
Ho2 Ho 0.199 0.484 0.051 1
Ho3 Ho 0.061 0.315 0.642 1
Ho4 Ho 0.939 0.685 0.358 1
Ho5 Ho 0.282 0.809 0.612 1
Ho6 Ho 0.500 0.000 0.000 1
Ho7 Ho 0.718 0.191 0.388 1
Er1 Er 0.519 0.640 0.286 1
Er2 Er 0.481 0.360 0.714 1
Er3 Er 0.698 0.838 0.688 1
Er4 Er 0.302 0.162 0.312 1
```

Results
Total magnetization ... 0.000 μB/f.u.
D(E_F) ... 20.65 states/eV per cell
Space-group type ... P-1, No. 2

***

Which of them is most stable? Easy: 2.

***

1.
DFT (GGA-PBE) results for crystalline Y6HoEr3 at its relaxed geometry.

The structure in CIF format:
```
data_Y6HoEr3
_cell_length_a 6.368
_cell_length_b 11.494
_cell_length_c 11.494
_cell_angle_alpha 130.50
_cell_angle_beta 90.00
_cell_angle_gamma 90.00
_symmetry_space_group_name_H-M 'P 1'
_symmetry_Int_Tables_number 1
_symmetry_space_group_name_Hall 'P 1'
loop_
_atom_site_label
_atom_site_type_symbol
_atom_site_fract_x
_atom_site_fract_y
_atom_site_fract_z
_atom_site_occupancy
Y1 Y 0.070 0.741 0.622 1
Y2 Y 0.570 0.622 0.741 1
Y3 Y 0.326 0.458 0.896 1
Y4 Y 0.826 0.896 0.458 1
Y5 Y 0.318 0.985 0.015 1
Y6 Y 0.786 0.301 0.699 1
Y7 Y 0.286 0.699 0.301 1
Y8 Y 0.818 0.015 0.985 1
Y9 Y 0.326 0.104 0.542 1
Y10 Y 0.826 0.542 0.104 1
Y11 Y 0.070 0.378 0.259 1
Y12 Y 0.570 0.259 0.378 1
Ho1 Ho 0.017 0.161 0.839 1
Ho2 Ho 0.517 0.839 0.161 1
Er1 Er 0.489 0.959 0.705 1
Er2 Er 0.989 0.705 0.959 1
Er3 Er 0.094 0.419 0.581 1
Er4 Er 0.594 0.581 0.419 1
Er5 Er 0.989 0.041 0.295 1
Er6 Er 0.489 0.295 0.041 1
```

Results
Total magnetization ... 0.000 μB/f.u.
D(E_F) ... 32.41 states/eV per cell
Space-group type ... Cmc2_1, No. 36

***

2.
DFT (GGA-PBE) results for crystalline Y6HoEr3 at its relaxed geometry.

The structure in CIF format:
```
data_Y6HoEr3
_cell_length_a 6.223
_cell_length_b 10.919
_cell_length_c 10.919
_cell_angle_alpha 119.81
_cell_angle_beta 90.00
_cell_angle_gamma 90.00
_symmetry_space_group_name_H-M 'P 1'
_symmetry_Int_Tables_number 1
_symmetry_space_group_name_Hall 'P 1'
loop_
_atom_site_label
_atom_site_type_symbol
_atom_site_fract_x
_atom_site_fract_y
_atom_site_fract_z
_atom_site_occupancy
Y1 Y 0.038 0.709 0.619 1
Y2 Y 0.538 0.619 0.709 1
Y3 Y 0.357 0.536 0.953 1
Y4 Y 0.857 0.953 0.536 1
Y5 Y 0.410 0.952 0.048 1
Y6 Y 0.654 0.280 0.720 1
Y7 Y 0.154 0.720 0.280 1
Y8 Y 0.910 0.048 0.952 1
Y9 Y 0.357 0.047 0.464 1
Y10 Y 0.857 0.464 0.047 1
Y11 Y 0.038 0.381 0.291 1
Y12 Y 0.538 0.291 0.381 1
Ho1 Ho 0.151 0.206 0.794 1
Ho2 Ho 0.651 0.794 0.206 1
Er1 Er 0.454 0.939 0.720 1
Er2 Er 0.954 0.720 0.939 1
Er3 Er 0.073 0.389 0.611 1
Er4 Er 0.573 0.611 0.389 1
Er5 Er 0.954 0.061 0.280 1
Er6 Er 0.454 0.280 0.061 1
```

Results
Total magnetization ... 0.002 μB/f.u.
D(E_F) ... 30.18 states/eV per cell
Space-group type ... Cmc2_1, No. 36

***

Which of them is most stable? Easy: 1.

***

1.
DFT (GGA-PBE) results for crystalline Y2Ho5Er4 at its relaxed geometry.

The structure in CIF format:
```
data_Y2Ho5Er4
_cell_length_a 3.478
_cell_length_b 7.604
_cell_length_c 14.496
_cell_angle_alpha 105.20
_cell_angle_beta 96.89
_cell_angle_gamma 90.00
_symmetry_space_group_name_H-M 'P 1'
_symmetry_Int_Tables_number 1
_symmetry_space_group_name_Hall 'P 1'
loop_
_atom_site_label
_atom_site_type_symbol
_atom_site_fract_x
_atom_site_fract_y
_atom_site_fract_z
_atom_site_occupancy
Y1 Y 0.100 0.100 0.200 1
Y2 Y 0.900 0.900 0.800 1
Ho1 Ho 0.803 0.068 0.607 1
Ho2 Ho 0.803 0.539 0.607 1
Ho3 Ho 0.197 0.461 0.393 1
Ho4 Ho 0.197 0.932 0.393 1
Ho5 Ho 0.500 0.000 0.000 1
Er1 Er 0.000 0.317 0.000 1
Er2 Er 0.602 0.602 0.203 1
Er3 Er 0.000 0.683 0.000 1
Er4 Er 0.398 0.398 0.797 1
```

Results
Total magnetization ... 1.007 μB/f.u.
D(E_F) ... 21.67 states/eV per cell
Space-group type ... Immm, No. 71

***

2.
DFT (GGA-PBE) results for crystalline Y2Ho5Er4 at its relaxed geometry.

The structure in CIF format:
```
data_Y2Ho5Er4
_cell_length_a 6.577
_cell_length_b 6.577
_cell_length_c 9.126
_cell_angle_alpha 76.31
_cell_angle_beta 76.32
_cell_angle_gamma 67.47
_symmetry_space_group_name_H-M 'P 1'
_symmetry_Int_Tables_number 1
_symmetry_space_group_name_Hall 'P 1'
loop_
_atom_site_label
_atom_site_type_symbol
_atom_site_fract_x
_atom_site_fract_y
_atom_site_fract_z
_atom_site_occupancy
Y1 Y 0.145 0.145 0.877 1
Y2 Y 0.855 0.855 0.123 1
Ho1 Ho 0.649 0.209 0.779 1
Ho2 Ho 0.351 0.791 0.221 1
Ho3 Ho 0.000 0.000 0.500 1
Ho4 Ho 0.209 0.649 0.779 1
Ho5 Ho 0.791 0.351 0.221 1
Er1 Er 0.323 0.323 0.496 1
Er2 Er 0.677 0.677 0.504 1
Er3 Er 0.667 0.667 0.880 1
Er4 Er 0.333 0.333 0.120 1
```

Results
Total magnetization ... 0.000 μB/f.u.
D(E_F) ... 18.52 states/eV per cell
Space-group type ... C2/m, No. 12

***

Which of them is most stable? Easy: 2.

***

1.
DFT (GGA-PBE) results for crystalline YHo6Er8 at its relaxed geometry.

The structure in CIF format:
```
data_YHo6Er8
_cell_length_a 6.437
_cell_length_b 9.334
_cell_length_c 9.334
_cell_angle_alpha 120.00
_cell_angle_beta 90.00
_cell_angle_gamma 90.00
_symmetry_space_group_name_H-M 'P 1'
_symmetry_Int_Tables_number 1
_symmetry_space_group_name_Hall 'P 1'
loop_
_atom_site_label
_atom_site_type_symbol
_atom_site_fract_x
_atom_site_fract_y
_atom_site_fract_z
_atom_site_occupancy
Y1 Y 0.500 0.000 0.000 1
Ho1 Ho 0.591 0.681 0.097 1
Ho2 Ho 0.591 0.903 0.584 1
Ho3 Ho 0.591 0.416 0.319 1
Ho4 Ho 0.409 0.319 0.903 1
Ho5 Ho 0.409 0.097 0.416 1
Ho6 Ho 0.409 0.584 0.681 1
Er1 Er 0.903 0.976 0.312 1
Er2 Er 0.903 0.688 0.664 1
Er3 Er 0.903 0.336 0.024 1
Er4 Er 0.097 0.024 0.688 1
Er5 Er 0.097 0.312 0.336 1
Er6 Er 0.097 0.664 0.976 1
Er7 Er 0.837 0.333 0.667 1
Er8 Er 0.163 0.667 0.333 1
```

Results
Total magnetization ... 0.001 μB/f.u.
D(E_F) ... 22.33 states/eV per cell
Space-group type ... P-3, No. 147

***

2.
DFT (GGA-PBE) results for crystalline YHo6Er8 at its relaxed geometry.

The structure in CIF format:
```
data_YHo6Er8
_cell_length_a 8.954
_cell_length_b 8.954
_cell_length_c 8.550
_cell_angle_alpha 58.42
_cell_angle_beta 58.42
_cell_angle_gamma 60.00
_symmetry_space_group_name_H-M 'P 1'
_symmetry_Int_Tables_number 1
_symmetry_space_group_name_Hall 'P 1'
loop_
_atom_site_label
_atom_site_type_symbol
_atom_site_fract_x
_atom_site_fract_y
_atom_site_fract_z
_atom_site_occupancy
Y1 Y 0.000 0.000 0.000 1
Ho1 Ho 0.460 0.888 0.876 1
Ho2 Ho 0.112 0.224 0.124 1
Ho3 Ho 0.224 0.540 0.124 1
Ho4 Ho 0.776 0.460 0.876 1
Ho5 Ho 0.888 0.776 0.876 1
Ho6 Ho 0.540 0.112 0.124 1
Er1 Er 0.721 0.109 0.427 1
Er2 Er 0.891 0.258 0.573 1
Er3 Er 0.258 0.279 0.573 1
Er4 Er 0.576 0.576 0.271 1
Er5 Er 0.424 0.424 0.729 1
Er6 Er 0.742 0.721 0.427 1
Er7 Er 0.109 0.742 0.427 1
Er8 Er 0.279 0.891 0.573 1
```

Results
Total magnetization ... 0.000 μB/f.u.
D(E_F) ... 22.97 states/eV per cell
Space-group type ... R-3, No. 148

***

Which of them is most stable? Easy: 2.